An optimized crystal structure of Hg2PbSe. Source: the Alexandria database, functional PBE.

```
Hg2PbSe
1.0
-5.7465 0.0676 -3.6977
-4.0154 -5.3254 -1.4886
3.2647 3.1410 5.1162
Hg Se Pb
2 1 1
direct
0.9991 0.9991 0.0000
0.5009 0.5009 0.0000
0.2500 0.7500 0.5000
0.7500 0.2500 0.5000
```

Summary:
The final energy is -8.3 eV per formula unit. The value obtained for the size of the total moment is 0.00 μB per formula unit.